(1)
Here is CuHg2Te after structural relaxation from OQMD via LeMat-Bulk. Energies are from GGA-PBE.

Geometry as extended XYZ:
```
4
Lattice="0.000 3.604 3.604 3.604 0.000 3.604 3.604 3.604 0.000" Properties=species:S:1:pos:R:3 pbc="T T T"
Cu 0.000 0.000 0.000
Hg 3.604 3.604 3.604
Hg 5.406 5.406 5.406
Te 1.802 1.802 1.802
```

## Properties
Total DFT energy (no corrections) (eV/atom): -1.552
Volume (A^3/atom): 23.4



(2)
Here is DySiAg after structural relaxation from OQMD via LeMat-Bulk. Energies are from GGA-PBE.

Geometry as extended XYZ:
```
9
Lattice="7.095 0.000 0.000 -3.548 6.145 0.000 0.000 0.000 4.163" Properties=species:S:1:pos:R:3 pbc="T T T"
Dy -2.111 3.656 0.000
Dy 1.437 2.489 0.000
Dy 4.221 0.000 0.000
Si -0.917 1.588 2.081
Si 1.834 0.000 2.081
Si 2.631 4.556 2.081
Ag 0.000 0.000 0.000
Ag 0.000 4.097 2.081
Ag 3.548 2.048 2.081
```

## Properties
Total DFT energy (no corrections) (eV/atom): -4.615
Volume (A^3/atom): 20.2